# 1
H8SeS2 | PBE | relaxed

a b c (Å): 4.3210 5.1791 7.3119
angles (deg): 102.33 90.00 114.65
Element x y z (fractional)
H (0.5963, 0.6357, 0.2358)
H (0.9606, 0.3643, 0.7642)
H (0.0823, 0.1645, 0.2480)
H (0.9177, 0.8355, 0.7520)
H (0.0394, 0.6357, 0.2358)
H (0.4037, 0.3643, 0.7642)
H (0.3727, 0.7454, 0.8803)
H (0.6273, 0.2546, 0.1197)
Se (0.0000, 0.0000, 0.0000)
S (0.2676, 0.5352, 0.7082)
S (0.7324, 0.4648, 0.2918)

Summary:
Space group: No. 12
Calculated total energy in eV per formula unit: -35.5


# 2
Sm3TePtBr | PBE | relaxed

a b c (Å): 4.0023 7.4457 11.8994
angles (deg): 102.34 90.00 90.00
Element x y z (fractional)
Sm (0.7500, 0.0410, 0.1366)
Sm (0.2500, 0.9590, 0.8634)
Sm (0.2500, 0.7070, 0.5021)
Sm (0.7500, 0.2930, 0.4979)
Sm (0.7500, 0.5495, 0.1435)
Sm (0.2500, 0.4505, 0.8565)
Te (0.2500, 0.3454, 0.3038)
Te (0.7500, 0.6546, 0.6962)
Pt (0.2500, 0.7635, 0.0509)
Pt (0.7500, 0.2365, 0.9491)
Br (0.2500, 0.1157, 0.6317)
Br (0.7500, 0.8843, 0.3683)

Summary:
Space group: No. 11
E_form (uncorrected) in meV/atom: -1238
Calculated total energy in eV per formula unit: -32.4


Across the entries above, magnetization takes the values 0.0, 0.0 μB/f.u., respectively.